Density functional theory data (GGA-PBEsol) for ZrTl2Pt after structural relaxation.

Computed properties:
Crystal system: cubic
N(E_F) (states/eV per atom): 0.131
Energy relative to the lowest polymorph listed for this composition (meV per atom): 66.2
Energy of formation from the pure elements (kJ/mol of atoms): -11.78

a b c (Å): 6.9083 6.9083 6.9083
angles (deg): 90.00 90.00 90.00
With the nearest neighbours (Å) after each atom.
Space group F-43m (No. 216)
One atom of each set of equivalent atoms:
Zr: 0.0000 0.0000 0.0000 (multiplicity 4)  4 Tl 2.99, 4 Pt 2.99
Tl: 0.0000 0.0000 0.5000 (multiplicity 4)  4 Tl 2.99, 4 Pt 2.99
Tl: 0.2500 0.2500 0.7500 (multiplicity 4)  4 Zr 2.99, 4 Tl 2.99
Pt: 0.2500 0.2500 0.2500 (multiplicity 4)  4 Zr 2.99, 4 Tl 2.99

=====

Density functional theory data (GGA-PBEsol) for SrCaMo2 after structural relaxation.

Computed properties:
Crystal system: tetragonal
N(E_F) (states/eV per atom): 0.716
Energy relative to the lowest polymorph listed for this composition (meV per atom): 168.8
Energy of formation from the pure elements (kJ/mol of atoms): 104.47

a b c (Å): 3.9642 3.9642 10.5265
angles (deg): 90.00 90.00 90.00
With the nearest neighbours (Å) after each atom.
Space group I4/mmm (No. 139)
One atom of each set of equivalent atoms:
Sr: 0.0000 0.0000 0.0000 (multiplicity 2)  4 Ca 2.80
Ca: 0.0000 0.0000 0.5000 (multiplicity 2)  4 Sr 2.80
Mo: 0.0000 0.5000 0.2500 (multiplicity 4)  4 Mo 2.80

=====

Density functional theory data (GGA-PBEsol) for KCr2Pb after structural relaxation.

Computed properties:
Crystal system: orthorhombic
N(E_F) (states/eV per atom): 0.582
Energy of formation from the pure elements (kJ/mol of atoms): 86.87

a b c (Å): 3.0881 5.4322 10.8962
angles (deg): 90.00 90.00 90.00
With the nearest neighbours (Å) after each atom.
Space group Imm2 (No. 44)
One atom of each set of equivalent atoms:
K: 0.0000 0.0000 0.0000 (multiplicity 2)  2 K 3.09, 4 Cr 3.16
Cr: 0.0000 0.0000 0.5432 (multiplicity 2)  2 Cr 2.38
Cr: 0.0000 0.5000 0.2094 (multiplicity 2)  2 Cr 2.38
Pb: 0.0000 0.5000 0.7961 (multiplicity 2)  2 Pb 3.09, 6 Cr 3.10-3.26

=====

The evaluated energy for the records listed, in turn: -5.451, -5.795, -5.504 eV per atom.